No. 1
The following is a DFT calculation (PBE) of crystalline CuAu at its relaxed geometry.

```
CuAu
1.0
7.040 0.000 0.000
0.000 7.040 0.000
0.000 0.000 7.040
Cu Au
6 6
Cartesian
0.000 1.760 3.520
0.000 5.280 3.520
1.760 3.520 0.000
3.520 0.000 1.760
3.520 0.000 5.280
5.280 3.520 0.000
0.000 3.520 1.760
0.000 3.520 5.280
1.760 0.000 3.520
3.520 1.760 0.000
3.520 5.280 0.000
5.280 0.000 3.520
```

Properties
Electronic total energy in eV/atom: -3.014

No. 2
The following is a DFT calculation (PBE) of crystalline AcSm2PdO5 at its relaxed geometry.

```
AcSm2PdO5
1.0
6.620 0.000 0.000
0.000 6.620 0.000
0.000 0.000 6.068
Ac Sm Pd O
2 4 2 10
Cartesian
0.000 0.000 0.000
3.310 3.310 0.000
1.104 2.205 3.034
2.205 5.515 3.034
4.414 1.104 3.034
5.515 4.414 3.034
0.000 3.310 0.000
3.310 0.000 0.000
0.000 0.000 3.034
1.054 4.364 1.522
1.054 4.364 4.547
2.256 1.054 1.522
2.256 1.054 4.547
3.310 3.310 3.034
4.364 5.566 1.522
4.364 5.566 4.547
5.566 2.256 1.522
5.566 2.256 4.547
```

Properties
Formation energy (no corrections) in eV per atom: -2.6460

No. 3
The following is a DFT calculation (PBE) of crystalline InAsSe2 at its relaxed geometry.

```
InAsSe2
1.0
2.980 -4.038 0.000
2.980 4.038 0.000
0.000 0.000 3.995
In As Se
1 1 2
Cartesian
0.000 0.000 0.000
2.980 0.000 0.000
2.980 1.873 1.998
2.980 -1.873 1.998
```

Properties
Formation energy (no corrections) in eV per atom: -0.0903